4
Lattice="-1.9201 2.1923 1.8649 -2.5226 -2.3612 0.1786 3.8039 -3.4601 7.9839" Properties=species:S:1:pos:R:3 comment="Sm2DyTi PBE optimized geometry" volume_a3_per_atom=28.42 space_group="P4/mmm (123)" polymorph_energy_ev_per_fu=0.00 m_tot_mub_per_cell=0.0 pbc="T T T"
Ti -2.2213 -0.0845 1.0217
Sm 2.9591 -2.6916 6.2107
Sm 0.8448 -0.7685 1.7732
Dy -0.3194 -1.8145 5.0137

---

8
Lattice="-3.7731 1.4152 2.8981 0.3555 -4.2506 2.5385 1.2360 0.5457 5.5935" Properties=species:S:1:pos:R:3 comment="BeIr2O PBE optimized geometry" volume_a3_per_atom=14.04 space_group="I-42d (122)" e_form_raw_ev_per_atom=0.544 polymorph_energy_ev_per_fu=0.62 m_tot_mub_per_cell=0.0 pbc="T T T"
Be -1.7088 -1.4177 2.7183
Be -0.0586 -2.5613 5.4252
Ir -2.0754 0.5161 3.5813
Ir 0.1302 -2.3698 3.2929
Ir -0.3612 -0.5744 6.1863
Ir -2.0567 -2.1513 8.9997
O 0.0000 0.0000 0.0000
O -2.1230 0.2716 5.6050

---

12
Lattice="6.0825 0.0000 1.9630 2.0406 10.3768 4.0806 0.0867 -0.0812 10.1323" Properties=species:S:1:pos:R:3 comment="Ba5Sr5Li2 PBE optimized geometry" volume_a3_per_atom=53.29 e_tot_ev_per_atom=-1.77 space_group="C2/m (12)" m_tot_mub_per_cell=0.0 pbc="T T T"
Ba 4.1049 5.1478 8.0879
Ba 3.0691 2.9438 11.2960
Ba 4.0989 10.2862 8.1064
Ba 4.1108 0.0094 8.0695
Ba 5.1407 7.3517 4.8799
Sr 7.1422 7.4962 9.0815
Sr 3.0778 7.3386 11.2690
Sr 5.1319 2.9569 4.9069
Sr 1.0675 2.7994 7.0944
Sr 0.0000 0.0000 0.0000
Li 6.2723 5.1709 11.7758
Li 1.9374 5.1247 4.4001